# 1
Below is Lu3Al2 after structural relaxation, with properties calculated at the PBE-GGA level.

Summary:
- energy of formation from the pure elements (eV/atom) = -0.327
- density of states at the Fermi level (states/eV/f.u.) = 4.6
- total DFT energy (no corrections) (eV per atom) = -4.537

Cell: 8.051 8.051 7.447 Å, 90.00 90.00 90.00°
Space group P4_2/mnm (No. 136)
Inequivalent atoms, fractional coordinates:
Lu  0.000  0.500  0.250 (multiplicity 4)
Lu  0.150  0.150  0.000 (multiplicity 4)
Lu  0.203  0.203  0.500 (multiplicity 4)
Al  0.120  0.880  0.303 (multiplicity 8)



# 2
Below is Lu4Al after structural relaxation, with properties calculated at the PBE-GGA level.

Summary:
- energy of formation from the pure elements (eV/atom) = 0.533
- density of states at the Fermi level (states/eV/f.u.) = 8.5
- total DFT energy (no corrections) (eV per atom) = -3.832

Cell: 10.916 10.916 10.916 Å, 90.00 90.00 90.00°
Space group Fd-3m (No. 227, origin choice 2)
Inequivalent atoms, fractional coordinates:
Lu  0.020  0.020  0.230 (multiplicity 32)
Al  0.125  0.125  0.625 (multiplicity 8)



# 3
Below is LuMgAl2 after structural relaxation, with properties calculated at the PBE-GGA level.

Summary:
- distance to the lowest polymorph of the same formula (eV per formula unit) = 0.49
- energy of formation from the pure elements (eV/atom) = -0.175
- density of states at the Fermi level (states/eV/f.u.) = 2.5
- total DFT energy (no corrections) (eV per atom) = -3.575

Cell: 3.365 3.365 7.241 Å, 90.00 90.00 90.00°
Space group P4/mmm (No. 123)
Inequivalent atoms, fractional coordinates:
Lu  0.000  0.000  0.000 (multiplicity 1)
Mg  0.000  0.000  0.500 (multiplicity 1)
Al  0.500  0.500  0.269 (multiplicity 2)



# 4
Below is Lu2MgAl after structural relaxation, with properties calculated at the PBE-GGA level.

Summary:
- distance to the lowest polymorph of the same formula (eV per formula unit) = 0.60
- energy of formation from the pure elements (eV/atom) = -0.089
- density of states at the Fermi level (states/eV/f.u.) = 3.3
- total DFT energy (no corrections) (eV per atom) = -3.684

Cell: 3.4492 3.4492 29.7205 Å, 90.00 90.00 120.00°
Space group R-3m (No. 166, hexagonal axes)
Inequivalent atoms, fractional coordinates:
Lu  0.0000  0.0000  0.2431 (multiplicity 6)
Mg  0.0000  0.0000  0.0000 (multiplicity 3)
Al  0.0000  0.0000  0.5000 (multiplicity 3)



Listing size of the total moment for the structures above in their given order: 0.0, 0.1, 0.2, 0.0 μB per cell.